The following is a meta-GGA SCAN calculation of a crystal of Zr2MnFe relaxed with PBEsol, from Alexandria.

- SG = No. 99
- formation energy from the elements (eV/atom) = 0.126
- calculated total energy (eV/f.u.) = -97.28

```
Zr2MnFe
1.0
2.863 0.000 0.000
0.000 2.863 0.000
0.000 0.000 7.781
Zr Mn Fe
2 1 1
direct
0.000 0.000 0.000
0.500 0.500 0.360
0.500 0.500 0.752
0.000 0.000 0.607
```